(1)
A plane-wave DFT calculation with PBE was carried out for an optimized crystal structure of KU3Pd4S12.

The structure in POSCAR format:
```
KU3Pd4S12
1.0
8.4846 -0.0623 -0.0865
-2.1047 8.2196 -0.0865
-2.1047 -2.6911 7.7671
Pd S U K
4 12 3 1
Direct
0.9143 0.0857 0.5000 Pd
0.0857 0.5000 0.9143 Pd
0.5000 0.9143 0.0857 Pd
0.5000 0.5000 0.5000 Pd
0.2641 0.3504 0.9876 S
0.3504 0.9876 0.2641 S
0.7359 0.0124 0.6496 S
0.9133 0.5000 0.0867 S
0.3308 0.6692 0.5000 S
0.6692 0.5000 0.3308 S
0.5000 0.0867 0.9133 S
0.6496 0.7359 0.0124 S
0.9876 0.2641 0.3504 S
0.0124 0.6496 0.7359 S
0.0867 0.9133 0.5000 S
0.5000 0.3308 0.6692 S
0.5715 0.4285 0.0000 U
0.0000 0.5715 0.4285 U
0.4285 0.0000 0.5715 U
0.0000 0.0000 0.0000 K
```

Results
Space group ... No. 155
Size of the total moment ... 0.000 μB per atom
Calculated density ... 4.8 g/cm3
Electronic total energy ... -118.17 eV/cell

=====

(2)
A plane-wave DFT calculation with PBE was carried out for an optimized crystal structure of NdYEr2Se4.

The structure in POSCAR format:
```
NdYEr2Se4
1.0
4.0350 0.0000 0.0000
0.0000 7.2187 -0.2205
0.0000 2.4636 6.6164
Se Y Nd Er
4 1 1 2
Direct
0.5000 0.2403 0.7480 Se
0.5000 0.7597 0.2520 Se
0.0000 0.7638 0.7399 Se
0.0000 0.2362 0.2601 Se
0.0000 0.5000 0.5000 Y
0.5000 0.5000 0.0000 Nd
0.5000 0.0000 0.5000 Er
0.0000 0.0000 0.0000 Er
```

Results
Space group ... No. 10
Size of the total moment ... 0.000 μB per atom
Calculated density ... 7.5 g/cm3
Electronic total energy ... -48.27 eV/cell

=====

(3)
A plane-wave DFT calculation with PBE was carried out for an optimized crystal structure of SrCa6Au4.

The structure in POSCAR format:
```
SrCa6Au4
1.0
6.0437 0.0043 -2.2348
-0.8309 5.9862 -2.2351
0.0630 0.0727 9.3916
Ca Au Sr
6 4 1
Direct
0.9980 0.5004 0.0001 Ca
0.9104 0.9104 0.3646 Ca
0.4542 0.4542 0.3631 Ca
0.0906 0.5460 0.6362 Ca
0.5460 0.0906 0.6362 Ca
0.5004 0.9979 0.0001 Ca
0.3748 0.8890 0.2653 Au
0.1115 0.1115 0.7351 Au
0.6248 0.6248 0.7342 Au
0.8890 0.3748 0.2653 Au
0.0003 0.0003 0.9997 Sr
```

Results
Space group ... No. 8
Size of the total moment ... 0.000 μB per atom
Calculated density ... 5.4 g/cm3
Energy of formation from the pure elements ... -5.416 eV per formula unit
Electronic total energy ... -32.22 eV/cell

=====

(4)
A plane-wave DFT calculation with PBE was carried out for an optimized crystal structure of Tb2Nd3Sm2.

The structure in POSCAR format:
```
Tb2Nd3Sm2
1.0
3.5953 -0.1716 0.5100
0.6203 10.8509 -0.6755
0.9279 -0.2836 6.2087
Sm Nd Tb
2 3 2
Direct
0.7147 0.1427 0.5701 Sm
0.2853 0.8573 0.4299 Sm
0.0000 0.0000 0.0000 Nd
0.1430 0.4288 0.7155 Nd
0.8570 0.5712 0.2845 Nd
0.5720 0.7147 0.8564 Tb
0.4280 0.2853 0.1436 Tb
```

Results
Space group ... No. 2
Size of the total moment ... 0.000 μB per atom
Calculated density ... 7.4 g/cm3
Energy of formation from the pure elements ... 0.099 eV per formula unit
Relative energy among the computed polymorphs ... 0.000 eV/atom
Electronic total energy ... -32.90 eV/cell

=====

(5)
A plane-wave DFT calculation with PBE was carried out for an optimized crystal structure of VCo.

The structure in POSCAR format:
```
VCo
1.0
-2.5884 4.6040 4.0590
-2.6680 -1.0122 -6.0190
-2.4896 -2.7855 1.5720
V Co
6 6
Direct
0.3001 0.2116 0.2500 V
0.9115 0.6999 0.2500 V
0.7884 0.0885 0.2500 V
0.2116 0.9115 0.7500 V
0.6999 0.7884 0.7500 V
0.0885 0.3001 0.7500 V
0.6381 0.1186 0.7500 Co
0.1186 0.4806 0.2500 Co
0.4806 0.3619 0.7500 Co
0.8814 0.5194 0.7500 Co
0.3619 0.8814 0.2500 Co
0.5194 0.6381 0.2500 Co
```

Results
Space group ... No. 176
Size of the total moment ... 0.000 μB per atom
Calculated density ... 7.0 g/cm3
Energy of formation from the pure elements ... 0.400 eV per formula unit
Electronic total energy ... -94.95 eV/cell

=====

(6)
A plane-wave DFT calculation with PBE was carried out for an optimized crystal structure of Ac6Ir2NCl3.

The structure in POSCAR format:
```
Ac6Ir2NCl3
1.0
7.3068 -0.0106 -0.0118
-3.6608 6.3236 -0.0118
-1.2287 -2.1276 7.9795
Cl Ac N Ir
3 6 1 2
Direct
0.5000 0.5000 0.5000 Cl
0.1696 0.8304 0.5000 Cl
0.8304 0.1696 0.5000 Cl
0.0668 0.3842 0.1964 Ac
0.2483 0.2483 0.8067 Ac
0.7517 0.7517 0.1933 Ac
0.6158 0.9332 0.8036 Ac
0.9332 0.6158 0.8036 Ac
0.3842 0.0668 0.1964 Ac
0.0000 0.0000 0.0000 N
0.3334 0.6666 0.0000 Ir
0.6666 0.3334 0.0000 Ir
```

Results
Space group ... No. 12
Size of the total moment ... 0.000 μB per atom
Calculated density ... 8.4 g/cm3
Electronic total energy ... -71.51 eV/cell

=====

(7)
A plane-wave DFT calculation with PBE was carried out for an optimized crystal structure of KCr2Rh.

The structure in POSCAR format:
```
KCr2Rh
1.0
-3.3472 1.2859 3.6125
2.8600 -3.6314 2.1308
1.8823 2.0752 0.9983
Cr Rh K
2 1 1
Direct
0.0000 0.0000 0.0000 Cr
0.5000 0.5000 0.0000 Cr
0.0000 0.5000 0.5000 Rh
0.5000 0.0000 0.5000 K
```

Results
Space group ... No. 12
Size of the total moment ... 2.047 μB per atom
Calculated density ... 5.5 g/cm3
Energy of formation from the pure elements ... 4.582 eV per formula unit
Relative energy among the computed polymorphs ... 0.591 eV/atom
Electronic total energy ... -23.11 eV/cell

=====

(8)
A plane-wave DFT calculation with PBE was carried out for an optimized crystal structure of CaMgZrFe2.

The structure in POSCAR format:
```
CaMgZrFe2
1.0
-4.2116 0.9022 -1.6351
-0.3260 -4.6496 -1.7257
-1.8429 -1.3551 3.9991
Mg Fe Ca Zr
1 2 1 1
Direct
0.0000 0.0000 0.0000 Mg
0.5000 0.0000 0.0000 Fe
0.0000 0.0000 0.5000 Fe
0.5000 0.5000 0.5000 Ca
0.0000 0.5000 0.0000 Zr
```

Results
Space group ... No. 123
Size of the total moment ... 0.080 μB per atom
Calculated density ... 4.2 g/cm3
Energy of formation from the pure elements ... 7.162 eV per formula unit
Electronic total energy ... -21.91 eV/cell

=====

(9)
A plane-wave DFT calculation with PBE was carried out for an optimized crystal structure of CaIrRu4.

The structure in POSCAR format:
```
CaIrRu4
1.0
-1.5640 -2.9721 -3.9249
-3.5142 1.7759 -3.3437
1.3932 1.1641 -4.8361
Ru Ca Ir
4 1 1
Direct
0.8762 0.3746 0.3746 Ru
0.3746 0.8762 0.3746 Ru
0.3746 0.3746 0.8762 Ru
0.3746 0.3746 0.3746 Ru
0.7500 0.7500 0.7500 Ca
0.0000 0.0000 0.0000 Ir
```

Results
Space group ... No. 216
Size of the total moment ... 0.008 μB per atom
Calculated density ... 10.8 g/cm3
Energy of formation from the pure elements ... 2.555 eV per formula unit
Electronic total energy ... -45.41 eV/cell

=====

(10)
A plane-wave DFT calculation with PBE was carried out for an optimized crystal structure of Pm3Pr2Sm6Tl.

The structure in POSCAR format:
```
Pm3Pr2Sm6Tl
1.0
-3.4831 4.9414 1.5627
1.7029 -4.1333 4.3598
10.3932 5.9683 0.0936
Sm Pr Pm Tl
6 2 3 1
Direct
0.2430 0.2430 0.7504 Sm
0.7570 0.7570 0.2496 Sm
0.4082 0.0823 0.2482 Sm
0.0823 0.4082 0.2482 Sm
0.9177 0.5918 0.7518 Sm
0.5918 0.9177 0.7518 Sm
0.3335 0.6665 0.0000 Pr
0.6665 0.3335 0.0000 Pr
0.8319 0.1681 0.5000 Pm
0.5000 0.5000 0.5000 Pm
0.1681 0.8319 0.5000 Pm
0.0000 0.0000 0.0000 Tl
```

Results
Space group ... No. 12
Size of the total moment ... 0.000 μB per atom
Calculated density ... 7.6 g/cm3
Energy of formation from the pure elements ... -0.361 eV per formula unit
Electronic total energy ... -54.85 eV/cell

=====

(11)
A plane-wave DFT calculation with PBE was carried out for an optimized crystal structure of CrReHg2.

The structure in POSCAR format:
```
CrReHg2
1.0
-2.6776 -0.1945 1.0187
0.1853 -2.1972 -1.8393
2.9266 -5.3392 6.6730
Hg Cr Re
2 1 1
Direct
0.0000 0.0000 0.9922 Hg
0.0000 0.0000 0.5078 Hg
0.5000 0.5000 0.7500 Cr
0.5000 0.5000 0.2500 Re
```

Results
Space group ... No. 65
Size of the total moment ... 0.942 μB per atom
Calculated density ... 14.7 g/cm3
Energy of formation from the pure elements ... 3.467 eV per formula unit
Relative energy among the computed polymorphs ... 0.438 eV/atom
Electronic total energy ... -19.21 eV/cell

=====

(12)
A plane-wave DFT calculation with PBE was carried out for an optimized crystal structure of YNi6P4.

The structure in POSCAR format:
```
YNi6P4
1.0
3.6224 0.0000 0.0000
0.0000 5.7246 -3.3051
0.0000 0.0000 6.6102
Ni P Y
6 4 1
Direct
0.0000 0.5364 0.4636 Ni
0.0000 0.5364 0.0728 Ni
0.5000 0.5943 0.7972 Ni
0.5000 0.2028 0.7972 Ni
0.0000 0.9272 0.4636 Ni
0.5000 0.2028 0.4057 Ni
0.5000 0.8104 0.1896 P
0.0000 0.3333 0.6667 P
0.5000 0.8104 0.6208 P
0.5000 0.3792 0.1896 P
0.0000 0.0000 0.0000 Y
```

Results
Space group ... No. 187
Size of the total moment ... 0.000 μB per atom
Calculated density ... 6.8 g/cm3
Energy of formation from the pure elements ... -7.532 eV per formula unit
Electronic total energy ... -70.32 eV/cell

=====

calculated density of number 3 (SrCa6Au4)?
5.4 g/cm3